(1)
## La8Tb3Ho (PBE)

Data for a relaxed La8Tb3Ho crystal.

Computed properties:
Energy relative to the elements = 50 kJ per mole of atoms
Final energy = -103.30 eV/cell

```
data_La8Tb3Ho
_chemical_formula_sum 'La16 Tb6 Ho2'
_cell_length_a 8.873
_cell_length_b 8.873
_cell_length_c 11.742
_cell_angle_alpha 90.00
_cell_angle_beta 90.00
_cell_angle_gamma 90.00
_space_group_name_H-M_alt 'I -4 2 m'
_space_group_IT_number 121
_space_group_name_Hall 'I -4 2'
loop_
_atom_site_label
_atom_site_type_symbol
_atom_site_fract_x
_atom_site_fract_y
_atom_site_fract_z
La1 La 0.123 0.123 0.250
La2 La 0.250 0.250 0.000
Tb1 Tb 0.000 0.000 0.000
Tb2 Tb 0.000 0.500 0.250
Ho1 Ho 0.000 0.000 0.500
```

---

(2)
## La12Tb6Ho (PBE)

Data for a relaxed La12Tb6Ho crystal.

Computed properties:
Energy relative to the elements = 21 kJ per mole of atoms
Final energy = -261.99 eV/cell

```
data_La12Tb6Ho
_chemical_formula_sum 'La36 Tb18 Ho3'
_cell_length_a 14.9949
_cell_length_b 14.9949
_cell_length_c 10.4996
_cell_angle_alpha 90.00
_cell_angle_beta 90.00
_cell_angle_gamma 120.00
_space_group_name_H-M_alt 'R -3'
_space_group_IT_number 148
_space_group_name_Hall '-R 3'
loop_
_atom_site_label
_atom_site_type_symbol
_atom_site_fract_x
_atom_site_fract_y
_atom_site_fract_z
La1 La 0.0436 0.7876 0.0722
La2 La 0.0662 0.8371 0.4225
Tb1 Tb 0.0473 0.8486 0.7590
Ho1 Ho 0.0000 0.0000 0.0000
```

---

(3)
## La2Tb5Ho6 (PBE)

Data for a relaxed La2Tb5Ho6 crystal.

Computed properties:
Energy relative to the elements = 10 kJ per mole of atoms
Final energy = -118.33 eV/cell

```
data_La2Tb5Ho6
_chemical_formula_sum 'La4 Tb10 Ho12'
_cell_length_a 11.734
_cell_length_b 20.317
_cell_length_c 3.589
_cell_angle_alpha 90.00
_cell_angle_beta 90.00
_cell_angle_gamma 90.00
_space_group_name_H-M_alt 'P b a m'
_space_group_IT_number 55
loop_
_space_group_symop_operation_xyz
'x,y,z'
'-x,-y,-z'
'-x,-y,z'
'x,y,-z'
'x+1/2,-y+1/2,-z'
'-x+1/2,y+1/2,z'
'-x+1/2,y+1/2,-z'
'x+1/2,-y+1/2,z'
loop_
_atom_site_label
_atom_site_type_symbol
_atom_site_fract_x
_atom_site_fract_y
_atom_site_fract_z
La1 La 0.169 0.221 0.000
Tb1 Tb 0.000 0.500 0.500
Tb2 Tb 0.093 0.782 0.500
Tb3 Tb 0.200 0.053 0.500
Ho1 Ho 0.060 0.925 0.000
Ho2 Ho 0.076 0.637 0.000
Ho3 Ho 0.182 0.377 0.500
```

---

(4)
## La4Tb7Ho (PBE)

Data for a relaxed La4Tb7Ho crystal.

Computed properties:
ΔE to the lowest computed polymorph = 0.00 eV per formula unit
Energy relative to the elements = 2 kJ per mole of atoms
Final energy = -56.47 eV/cell

```
data_La4Tb7Ho
_chemical_formula_sum 'La4 Tb7 Ho1'
_cell_length_a 3.6220
_cell_length_b 3.6220
_cell_length_c 35.4015
_cell_angle_alpha 90.00
_cell_angle_beta 90.00
_cell_angle_gamma 120.00
_space_group_name_H-M_alt 'P -3 m 1'
_space_group_IT_number 164
_space_group_name_Hall '-P 3 2"'
loop_
_atom_site_label
_atom_site_type_symbol
_atom_site_fract_x
_atom_site_fract_y
_atom_site_fract_z
La1 La 0.3333 0.6667 0.1656
La2 La 0.3333 0.6667 0.4160
Tb1 Tb 0.0000 0.0000 0.2505
Tb2 Tb 0.0000 0.0000 0.5000
Tb3 Tb 0.3333 0.6667 0.6687
Tb4 Tb 0.3333 0.6667 0.9194
Ho1 Ho 0.0000 0.0000 0.0000
```

---

(5)
## La7Tb3Ho (PBE)

Data for a relaxed La7Tb3Ho crystal.

Computed properties:
ΔE to the lowest computed polymorph = 0.00 eV per formula unit
Energy relative to the elements = 6 kJ per mole of atoms
Final energy = -104.46 eV/cell

```
data_La7Tb3Ho
_chemical_formula_sum 'La14 Tb6 Ho2'
_cell_length_a 6.963
_cell_length_b 10.228
_cell_length_c 12.037
_cell_angle_alpha 99.81
_cell_angle_beta 101.32
_cell_angle_gamma 107.23
_space_group_name_H-M_alt 'P 1'
_space_group_IT_number 1
loop_
_space_group_symop_operation_xyz
'x,y,z'
loop_
_atom_site_label
_atom_site_type_symbol
_atom_site_fract_x
_atom_site_fract_y
_atom_site_fract_z
La1 La 0.000 0.000 0.000
La2 La 0.015 0.705 0.686
La3 La 0.068 0.172 0.333
La4 La 0.122 0.637 0.957
La5 La 0.268 0.068 0.643
La6 La 0.303 0.530 0.222
La7 La 0.355 0.785 0.503
La8 La 0.499 0.500 0.500
La9 La 0.515 0.205 0.187
La10 La 0.569 0.673 0.833
La11 La 0.622 0.137 0.457
La12 La 0.768 0.568 0.144
La13 La 0.803 0.031 0.722
La14 La 0.855 0.285 0.003
Tb1 Tb 0.182 0.872 0.235
Tb2 Tb 0.329 0.313 0.920
Tb3 Tb 0.436 0.975 0.908
Tb4 Tb 0.682 0.373 0.735
Tb5 Tb 0.829 0.813 0.420
Tb6 Tb 0.936 0.475 0.408
Ho1 Ho 0.127 0.365 0.654
Ho2 Ho 0.627 0.865 0.154
```

---

(6)
## La3Tb3Ho (PBE)

Data for a relaxed La3Tb3Ho crystal.

Computed properties:
Energy relative to the elements = 24 kJ per mole of atoms
Final energy = -188.92 eV/cell

```
data_La3Tb3Ho
_chemical_formula_sum 'La18 Tb18 Ho6'
_cell_length_a 8.8719
_cell_length_b 8.8719
_cell_length_c 21.4170
_cell_angle_alpha 90.00
_cell_angle_beta 90.00
_cell_angle_gamma 120.00
_space_group_name_H-M_alt 'R -3'
_space_group_IT_number 148
_space_group_name_Hall '-R 3'
loop_
_atom_site_label
_atom_site_type_symbol
_atom_site_fract_x
_atom_site_fract_y
_atom_site_fract_z
La1 La 0.0063 0.2495 0.0569
Tb1 Tb 0.0546 0.2703 0.2146
Ho1 Ho 0.0000 0.0000 0.3555
```